An optimized crystal structure of TlCuAg2, computed with GGA-PBE.

The value obtained for the uncorrected energy is -2.85 eV per atom.

The structure belongs to space group I-4m2 (No. 119); the cell edges are 4.1536, 4.1536 and 8.5895 Å and the angles 90.00°, 90.00° and 90.00°. The inequivalent atoms are Tl at (0.0000, 0.0000, 0.0000), Cu at (0.0000, 0.5000, 0.2500), Ag at (0.0000, 0.0000, 0.5000) and Ag at (0.0000, 0.5000, 0.7500).

An optimized crystal structure of TlCuAg, computed with GGA-PBE.

The value obtained for the uncorrected energy is -2.82 eV per atom.

The structure belongs to space group P3m1 (No. 156); the cell edges are 4.6452, 4.6452 and 3.0681 Å and the angles 90.00°, 90.00° and 120.00°. The inequivalent atoms are Tl at (0.0000, 0.0000, 0.0000), Cu at (0.3333, 0.6667, 0.8814) and Ag at (0.6667, 0.3333, 0.4649).

An optimized crystal structure of Tl2CuAg2, computed with GGA-PBE.

The value obtained for the uncorrected energy is -2.34 eV per atom.

The structure belongs to space group I4/mmm (No. 139); the cell edges are 4.2577, 4.2577 and 13.8390 Å and the angles 90.00°, 90.00° and 90.00°. The inequivalent atoms are Tl at (0.0000, 0.5000, 0.2500), Cu at (0.0000, 0.0000, 0.0000) and Ag at (0.0000, 0.0000, 0.4054).

An optimized crystal structure of TlCuAg2, computed with GGA-PBE.

The value obtained for the uncorrected energy is -2.74 eV per atom.

The structure belongs to space group I-42d (No. 122); the cell edges are 3.9789, 3.9789 and 20.3161 Å and the angles 90.00°, 90.00° and 90.00°. The inequivalent atoms are Tl at (0.0000, 0.0000, 0.0000), Cu at (0.0000, 0.0000, 0.5000) and Ag at (0.2394, 0.2500, 0.6250).

What is the uncorrected energy in the third record? -2.34 eV per atom